1.
An optimized crystal structure of Dy12Ga6Tc. Source: Alexandria via LeMat-Bulk, functional PBE.

CIF file:
```
data_Dy12Ga6Tc
_chemical_formula_sum 'Dy12 Ga6 Tc1'
_cell_length_a 8.375
_cell_length_b 8.375
_cell_length_c 8.375
_cell_angle_alpha 99.13
_cell_angle_beta 99.13
_cell_angle_gamma 99.13
_symmetry_space_group_name_H-M 'P 1'
_symmetry_Int_Tables_number 1
_symmetry_space_group_name_Hall 'P 1'
loop_
_atom_site_label
_atom_site_type_symbol
_atom_site_fract_x
_atom_site_fract_y
_atom_site_fract_z
Dy1 Dy 0.818 0.570 0.431
Dy2 Dy 0.431 0.818 0.570
Dy3 Dy 0.570 0.431 0.818
Dy4 Dy 0.182 0.430 0.569
Dy5 Dy 0.569 0.182 0.430
Dy6 Dy 0.430 0.569 0.182
Dy7 Dy 0.067 0.965 0.318
Dy8 Dy 0.035 0.682 0.933
Dy9 Dy 0.682 0.933 0.035
Dy10 Dy 0.933 0.035 0.682
Dy11 Dy 0.965 0.318 0.067
Dy12 Dy 0.318 0.067 0.965
Ga1 Ga 0.696 0.864 0.375
Ga2 Ga 0.625 0.304 0.136
Ga3 Ga 0.136 0.625 0.304
Ga4 Ga 0.304 0.136 0.625
Ga5 Ga 0.375 0.696 0.864
Ga6 Ga 0.864 0.375 0.696
Tc1 Tc 0.000 0.000 0.000
```

- raw total energy (eV/atom) = -4.57
- density of states at the Fermi level (states/eV per atom) = 1.191
- formation energy from the elements (meV per atom) = -162
- total magnetization (μB per cell) = 0.000

=====

2.
An optimized crystal structure of DyGa12Tc4. Source: Alexandria via LeMat-Bulk, functional PBE.

CIF file:
```
data_DyGa12Tc4
_chemical_formula_sum 'Dy1 Ga12 Tc4'
_cell_length_a 8.304
_cell_length_b 8.304
_cell_length_c 8.304
_cell_angle_alpha 109.47
_cell_angle_beta 109.47
_cell_angle_gamma 109.47
_symmetry_space_group_name_H-M 'P 1'
_symmetry_Int_Tables_number 1
_symmetry_space_group_name_Hall 'P 1'
loop_
_atom_site_label
_atom_site_type_symbol
_atom_site_fract_x
_atom_site_fract_y
_atom_site_fract_z
Dy1 Dy 0.000 0.000 0.000
Ga1 Ga 0.738 0.262 0.001
Ga2 Ga 0.262 0.524 0.262
Ga3 Ga 0.999 0.262 0.738
Ga4 Ga 0.262 0.001 0.738
Ga5 Ga 0.001 0.738 0.262
Ga6 Ga 0.738 0.476 0.738
Ga7 Ga 0.524 0.262 0.262
Ga8 Ga 0.476 0.738 0.738
Ga9 Ga 0.738 0.999 0.262
Ga10 Ga 0.738 0.738 0.476
Ga11 Ga 0.262 0.262 0.524
Ga12 Ga 0.262 0.738 0.999
Tc1 Tc 0.000 0.500 0.000
Tc2 Tc 0.500 0.000 0.000
Tc3 Tc 0.500 0.500 0.500
Tc4 Tc 0.000 0.000 0.500
```

- raw total energy (eV/atom) = -4.82
- density of states at the Fermi level (states/eV per atom) = 0.338
- formation energy from the elements (meV per atom) = 31
- total magnetization (μB per cell) = 0.000

=====

3.
An optimized crystal structure of DyTmGaTc. Source: Alexandria via LeMat-Bulk, functional PBE.

CIF file:
```
data_DyTmGaTc
_chemical_formula_sum 'Dy1 Tm1 Ga1 Tc1'
_cell_length_a 4.915
_cell_length_b 4.915
_cell_length_c 4.915
_cell_angle_alpha 60.00
_cell_angle_beta 60.00
_cell_angle_gamma 60.00
_symmetry_space_group_name_H-M 'P 1'
_symmetry_Int_Tables_number 1
_symmetry_space_group_name_Hall 'P 1'
loop_
_atom_site_label
_atom_site_type_symbol
_atom_site_fract_x
_atom_site_fract_y
_atom_site_fract_z
Tm1 Tm 0.500 0.500 0.500
Tc1 Tc 0.750 0.750 0.750
Ga1 Ga 0.250 0.250 0.250
Dy1 Dy 0.000 0.000 0.000
```

- raw total energy (eV/atom) = -5.88
- density of states at the Fermi level (states/eV per atom) = 0.739
- formation energy from the elements (meV per atom) = -263
- total magnetization (μB per cell) = 0.000

=====

4.
An optimized crystal structure of DyGaTe4. Source: Alexandria via LeMat-Bulk, functional PBE.

CIF file:
```
data_DyGaTe4
_chemical_formula_sum 'Dy2 Ga2 Te8'
_cell_length_a 6.147
_cell_length_b 7.930
_cell_length_c 9.703
_cell_angle_alpha 90.00
_cell_angle_beta 90.00
_cell_angle_gamma 117.69
_symmetry_space_group_name_H-M 'P 1'
_symmetry_Int_Tables_number 1
_symmetry_space_group_name_Hall 'P 1'
loop_
_atom_site_label
_atom_site_type_symbol
_atom_site_fract_x
_atom_site_fract_y
_atom_site_fract_z
Dy1 Dy 0.118 0.719 0.750
Dy2 Dy 0.882 0.281 0.250
Ga1 Ga 0.782 0.179 0.750
Ga2 Ga 0.218 0.821 0.250
Te1 Te 0.663 0.821 0.750
Te2 Te 0.337 0.179 0.250
Te3 Te 0.347 0.156 0.750
Te4 Te 0.653 0.844 0.250
Te5 Te 0.883 0.612 0.051
Te6 Te 0.117 0.388 0.551
Te7 Te 0.883 0.612 0.449
Te8 Te 0.117 0.388 0.949
```

- raw total energy (eV/atom) = -3.95
- density of states at the Fermi level (states/eV per atom) = 0.007
- total magnetization (μB per cell) = 0.000
- formation energy (no corrections) (eV/f.u.) = -3.5

=====

5.
An optimized crystal structure of Dy5Ga2Te. Source: Alexandria via LeMat-Bulk, functional PBE.

CIF file:
```
data_Dy5Ga2Te
_chemical_formula_sum 'Dy10 Ga4 Te2'
_cell_length_a 8.149
_cell_length_b 8.149
_cell_length_c 8.570
_cell_angle_alpha 118.39
_cell_angle_beta 118.39
_cell_angle_gamma 90.00
_symmetry_space_group_name_H-M 'P 1'
_symmetry_Int_Tables_number 1
_symmetry_space_group_name_Hall 'P 1'
loop_
_atom_site_label
_atom_site_type_symbol
_atom_site_fract_x
_atom_site_fract_y
_atom_site_fract_z
Dy1 Dy 0.510 0.704 0.715
Dy2 Dy 0.796 0.990 0.285
Dy3 Dy 0.000 0.000 0.000
Dy4 Dy 0.500 0.500 0.000
Dy5 Dy 0.204 0.010 0.715
Dy6 Dy 0.704 0.204 0.715
Dy7 Dy 0.010 0.510 0.715
Dy8 Dy 0.296 0.796 0.285
Dy9 Dy 0.990 0.490 0.285
Dy10 Dy 0.490 0.296 0.285
Ga1 Ga 0.149 0.351 0.000
Ga2 Ga 0.649 0.149 0.000
Ga3 Ga 0.351 0.851 0.000
Ga4 Ga 0.851 0.649 0.000
Te1 Te 0.750 0.750 0.500
Te2 Te 0.250 0.250 0.500
```

- raw total energy (eV/atom) = -4.68
- density of states at the Fermi level (states/eV per atom) = 1.062
- total magnetization (μB per cell) = 0.000
- formation energy (no corrections) (eV/f.u.) = -5.2

=====

6.
An optimized crystal structure of Dy5Ga2Te2. Source: Alexandria via LeMat-Bulk, functional PBE.

CIF file:
```
data_Dy5Ga2Te2
_chemical_formula_sum 'Dy10 Ga4 Te4'
_cell_length_a 7.872
_cell_length_b 7.905
_cell_length_c 8.630
_cell_angle_alpha 90.00
_cell_angle_beta 62.86
_cell_angle_gamma 90.00
_symmetry_space_group_name_H-M 'P 1'
_symmetry_Int_Tables_number 1
_symmetry_space_group_name_Hall 'P 1'
loop_
_atom_site_label
_atom_site_type_symbol
_atom_site_fract_x
_atom_site_fract_y
_atom_site_fract_z
Dy1 Dy 0.000 0.000 0.000
Dy2 Dy 0.500 0.500 0.000
Dy3 Dy 0.460 0.168 0.744
Dy4 Dy 0.796 0.832 0.744
Dy5 Dy 0.296 0.668 0.744
Dy6 Dy 0.960 0.332 0.744
Dy7 Dy 0.540 0.832 0.256
Dy8 Dy 0.204 0.168 0.256
Dy9 Dy 0.704 0.332 0.256
Dy10 Dy 0.040 0.668 0.256
Ga1 Ga 0.127 0.375 0.000
Ga2 Ga 0.873 0.625 0.000
Ga3 Ga 0.373 0.875 0.000
Ga4 Ga 0.627 0.125 0.000
Te1 Te 0.205 0.000 0.590
Te2 Te 0.705 0.500 0.590
Te3 Te 0.795 0.000 0.410
Te4 Te 0.295 0.500 0.410
```

- raw total energy (eV/atom) = -4.84
- density of states at the Fermi level (states/eV per atom) = 1.257
- total magnetization (μB per cell) = 0.036
- formation energy (no corrections) (eV/f.u.) = -8.2